A geometry-optimized W2IO structure, computed with PBE+U.

## Properties
excess energy over the best structure of this formula in the dataset: 1.039 eV per atom
magnetic moment: 4.98 μB per cell
V: 70 Å³ per cell
E: -0.13451 Ha/atom

Cell: 4.616 4.616 4.616 Å, 60.00 60.00 60.00°
Each line ends with the local moment (μB).
Atoms (fractional coordinates):
O1 0.000 0.000 0.000  0.03
W1 0.250 0.250 0.250  2.16
I1 0.500 0.500 0.500  -0.09
W2 0.750 0.750 0.750  2.16